Entry 1:
KBe: relaxed, GGA-PBE.

Summary:
symmetry: P6_3mc, No. 186
energy relative to the lowest polymorph listed for this composition: 84 meV/atom
electronic total energy: -1.7436 eV/atom

Cell: 5.846 5.846 4.201 Å, 90.00 90.00 120.00°
Element x y z (fractional)
K1 0.333 0.667 0.000
K2 0.667 0.333 0.500
Be1 0.000 0.000 0.492
Be2 0.000 0.000 0.992

Entry 2:
KBe: relaxed, GGA-PBE.

Summary:
symmetry: P4_2/mnm, No. 136
energy relative to the lowest polymorph listed for this composition: 520 meV/atom
electronic total energy: -1.3082 eV/atom

Cell: 6.705 6.705 6.618 Å, 90.00 90.00 90.00°
Element x y z (fractional)
K1 0.180 0.180 0.000
K2 0.320 0.680 0.500
K3 0.680 0.320 0.500
K4 0.820 0.820 0.000
Be1 0.114 0.114 0.500
Be2 0.386 0.614 0.000
Be3 0.614 0.386 0.000
Be4 0.886 0.886 0.500

Entry 3:
KBe: relaxed, GGA-PBE.

Summary:
symmetry: I-43m, No. 217
energy relative to the lowest polymorph listed for this composition: 234 meV/atom
electronic total energy: -1.5934 eV/atom

Cell: 9.559 9.559 9.559 Å, 90.00 90.00 90.00°
Element x y z (fractional)
K1 0.217 0.217 0.783
K2 0.217 0.783 0.217
K3 0.283 0.283 0.283
K4 0.283 0.717 0.717
K5 0.717 0.283 0.717
K6 0.717 0.717 0.283
K7 0.783 0.217 0.217
K8 0.783 0.783 0.783
Be1 0.076 0.076 0.076
Be2 0.076 0.924 0.924
Be3 0.424 0.424 0.576
Be4 0.424 0.576 0.424
Be5 0.576 0.424 0.424
Be6 0.576 0.576 0.576
Be7 0.924 0.076 0.924
Be8 0.924 0.924 0.076

Entry 4:
K3Be2: relaxed, GGA-PBE.

Summary:
symmetry: R-3m, No. 166
electronic total energy: -1.2655 eV/atom

Cell: 5.145 5.145 29.123 Å, 90.00 90.00 120.00°
Element x y z (fractional)
K1 0.000 0.000 0.000
K2 0.000 0.000 0.232
K3 0.000 0.000 0.768
K4 0.333 0.667 0.435
K5 0.333 0.667 0.667
K6 0.333 0.667 0.899
K7 0.667 0.333 0.101
K8 0.667 0.333 0.333
K9 0.667 0.333 0.565
Be1 0.000 0.000 0.343
Be2 0.000 0.000 0.657
Be3 0.333 0.667 0.010
Be4 0.333 0.667 0.323
Be5 0.667 0.333 0.677
Be6 0.667 0.333 0.990

Entry 5:
KBe4: relaxed, GGA-PBE.

Summary:
symmetry: Im-3m, No. 229
energy relative to the lowest polymorph listed for this composition: 1768 meV/atom
electronic total energy: -0.8269 eV/atom

Cell: 6.394 6.394 6.394 Å, 90.00 90.00 90.00°
Element x y z (fractional)
K1 0.000 0.000 0.000
K2 0.500 0.500 0.500
Be1 0.250 0.250 0.250
Be2 0.250 0.250 0.750
Be3 0.250 0.750 0.250
Be4 0.250 0.750 0.750
Be5 0.750 0.250 0.250
Be6 0.750 0.250 0.750
Be7 0.750 0.750 0.250
Be8 0.750 0.750 0.750

Entry 6:
KBe: relaxed, GGA-PBE.

Summary:
symmetry: Cm, No. 8
energy relative to the lowest polymorph listed for this composition: 32 meV/atom
electronic total energy: -1.7956 eV/atom

Cell: 12.319 3.947 9.838 Å, 90.00 122.12 90.00°
Element x y z (fractional)
K1 0.000 0.000 0.000
K2 0.111 0.500 0.683
K3 0.245 0.000 0.412
K4 0.500 0.500 0.000
K5 0.611 0.000 0.683
K6 0.745 0.500 0.412
Be1 0.284 0.500 0.110
Be2 0.369 0.000 0.203
Be3 0.437 0.500 0.317
Be4 0.784 0.000 0.110
Be5 0.869 0.500 0.203
Be6 0.937 0.000 0.317

Entry 7:
K3Be: relaxed, GGA-PBE.

Summary:
symmetry: P6_3/mmc, No. 194
energy relative to the lowest polymorph listed for this composition: 43 meV/atom
electronic total energy: -1.1205 eV/atom

Cell: 8.236 8.236 12.629 Å, 90.00 90.00 120.00°
Element x y z (fractional)
K1 0.000 0.500 0.000
K2 0.000 0.500 0.500
K3 0.152 0.304 0.250
K4 0.152 0.848 0.250
K5 0.304 0.152 0.750
K6 0.500 0.000 0.000
K7 0.500 0.000 0.500
K8 0.500 0.500 0.000
K9 0.500 0.500 0.500
K10 0.696 0.848 0.250
K11 0.848 0.152 0.750
K12 0.848 0.696 0.750
Be1 0.000 0.000 0.000
Be2 0.000 0.000 0.500
Be3 0.333 0.667 0.750
Be4 0.667 0.333 0.250

Entry 8:
KBe5: relaxed, GGA-PBE.

Summary:
symmetry: Amm2, No. 38
energy relative to the lowest polymorph listed for this composition: 29 meV/atom
electronic total energy: -2.8311 eV/atom

Cell: 3.615 2.477 18.055 Å, 90.00 90.00 90.00°
Element x y z (fractional)
K1 0.000 0.000 0.000
K2 0.000 0.500 0.500
Be1 0.000 0.000 0.271
Be2 0.000 0.000 0.672
Be3 0.000 0.500 0.172
Be4 0.000 0.500 0.771
Be5 0.500 0.000 0.157
Be6 0.500 0.000 0.358
Be7 0.500 0.000 0.758
Be8 0.500 0.500 0.258
Be9 0.500 0.500 0.657
Be10 0.500 0.500 0.858

The evaluated total magnetic moment for the records listed, in turn: 0.0 0.0 4.2 0.0 0.0 0.0 0.0 0.0 μB/cell.
The evaluated formation energy for the records listed, in turn: 1.34 2.21 1.64 4.42 11.87 1.23 2.54 2.74 eV per formula unit.
The evaluated V for the records listed, in turn: 31.09 37.19 54.59 44.52 26.14 33.76 46.37 13.47 A^3/atom.